# Tb2Nd2SmDy4 GGA-PBE relaxed
# Formation energy (eV/atom): 0.00
# Total moment (μB per cell): 0.00
# Fermi-level density of states (states/eV/cell): 24.11
# Final energy (eV per atom): -4.661
data_Tb2Nd2SmDy4
_chemical_formula_sum 'Tb4 Nd4 Sm2 Dy8'
_cell_length_a 18.7818
_cell_length_b 3.6176
_cell_length_c 9.6115
_cell_angle_alpha 90.00
_cell_angle_beta 115.72
_cell_angle_gamma 90.00
_symmetry_space_group_name_H-M 'C 1 2/m 1'
_symmetry_Int_Tables_number 12
loop_
_symmetry_equiv_pos_as_xyz
'x,y,z'
'-x,-y,-z'
'-x,y,-z'
'x,-y,z'
'x+1/2,y+1/2,z'
'-x+1/2,-y+1/2,-z'
'-x+1/2,y+1/2,-z'
'x+1/2,-y+1/2,z'
loop_
_atom_site_label
_atom_site_type_symbol
_atom_site_fract_x
_atom_site_fract_y
_atom_site_fract_z
_atom_site_occupancy
Tb1 Tb 0.1473 0.0000 0.1632 1
Nd1 Nd 0.1662 0.5000 0.5000 1
Sm1 Sm 0.0000 0.0000 0.5000 1
Dy1 Dy 0.0192 0.5000 0.8356 1
Dy2 Dy 0.1856 0.0000 0.8363 1